# Y2Er2Te7 PBE relaxed
# E ... -5.1925 eV per atom
# ρ ... 7.11 g/cm³
# Uncorrected formation energy ... -1188 meV/atom
data_Y2Er2Te7
_symmetry_space_group_name_H-M 'P 1'
_symmetry_Int_Tables_number 1
_symmetry_space_group_name_Hall 'P 1'
_cell_length_a 4.206
_cell_length_b 9.568
_cell_length_c 9.568
_cell_angle_alpha 61.92
_cell_angle_beta 77.30
_cell_angle_gamma 77.30
loop_
_atom_site_label
_atom_site_type_symbol
_atom_site_fract_x
_atom_site_fract_y
_atom_site_fract_z
Y1 Y 0.000 0.770 0.230
Y2 Y 0.500 0.324 0.676
Er1 Er 0.743 0.856 0.659
Er2 Er 0.257 0.341 0.144
Te1 Te 0.822 0.076 0.279
Te2 Te 0.856 0.425 0.862
Te3 Te 0.500 0.005 0.995
Te4 Te 0.610 0.488 0.291
Te5 Te 0.390 0.709 0.512
Te6 Te 0.178 0.721 0.924
Te7 Te 0.144 0.138 0.575